Entry 1:
YMn2Al: optimized geometry, PBE.

a = 5.1675 Å, b = 5.1675 Å, c = 5.1675 Å
α = 133.60°, β = 133.60°, γ = 67.72°
Each line ends with the local moment (μB).
Sites, in units of the cell vectors:
Y 0.5000 0.5000 0.0000  -0.25
Mn 0.0000 0.0000 0.0000  2.89
Mn 0.7500 0.2500 0.5000  3.23
Al 0.2500 0.7500 0.5000  -0.07

As for the space group: I-4m2 (119). For the formation energy, the calculation gives 37 kJ/mol of formula units.

Entry 2:
CdSiW2: optimized geometry, PBE.

a = 4.2447 Å, b = 3.9171 Å, c = 3.9171 Å
α = 90.00°, β = 90.00°, γ = 90.00°
Sites, in units of the cell vectors:
Cd 0.5000 0.5000 0.0000
Si 0.5000 0.0000 0.5000
W 0.0000 0.0000 0.0000
W 0.0000 0.5000 0.5000

The formation energy without anion corrections comes out at 0.679 eV per atom. As for the space group: P4/mmm (123). As for the distance to the lowest polymorph of the same formula: 0.320 eV/atom.

Entry 3:
BeCrTc: optimized geometry, PBE.

a = 6.4559 Å, b = 2.9081 Å, c = 8.8081 Å
α = 90.00°, β = 124.58°, γ = 90.00°
Sites, in units of the cell vectors:
Cr 0.0624 0.0000 0.2755
Cr 0.0624 0.5000 0.7755
Cr 0.3510 0.0000 0.7202
Cr 0.3510 0.5000 0.2202
Tc 0.9537 0.0000 0.9739
Tc 0.9537 0.5000 0.4739
Tc 0.6471 0.0000 0.5337
Tc 0.6471 0.5000 0.0337
Be 0.3361 0.0000 0.9948
Be 0.3361 0.5000 0.4948
Be 0.6588 0.0000 0.2550
Be 0.6588 0.5000 0.7550

As for the space group: Cm (8). As for the distance to the lowest polymorph of the same formula: 0.060 eV/atom. For the formation energy, the calculation gives -16 kJ/mol of formula units.

Entry 4:
Th3TeRuS: optimized geometry, PBE.

a = 4.2299 Å, b = 7.6201 Å, c = 10.5640 Å
α = 99.10°, β = 90.00°, γ = 90.00°
Sites, in units of the cell vectors:
Th 0.2500 0.7320 0.4327
Th 0.7500 0.9728 0.1400
Th 0.7500 0.4930 0.1438
Th 0.7500 0.2680 0.5673
Th 0.2500 0.5070 0.8562
Th 0.2500 0.0272 0.8600
Te 0.7500 0.6903 0.6702
Te 0.2500 0.3097 0.3298
Ru 0.2500 0.7383 0.1009
Ru 0.7500 0.2617 0.8991
S 0.2500 0.0580 0.6082
S 0.7500 0.9420 0.3918

The formation energy without anion corrections comes out at -0.979 eV per atom. As for the space group: P2_1/m (11).

Entry 5:
La3Ni4Rh4: optimized geometry, PBE.

a = 6.5358 Å, b = 6.5358 Å, c = 6.5358 Å
α = 109.47°, β = 109.47°, γ = 109.47°
Sites, in units of the cell vectors:
La 0.5000 0.5000 0.0000
La 0.5000 0.0000 0.5000
La 0.0000 0.5000 0.5000
Ni 0.0000 0.6032 0.0000
Ni 0.6032 0.0000 0.0000
Ni 0.0000 0.0000 0.6032
Ni 0.3968 0.3968 0.3968
Rh 0.0000 0.2484 0.0000
Rh 0.0000 0.0000 0.2484
Rh 0.2484 0.0000 0.0000
Rh 0.7516 0.7516 0.7516

As for the space group: I-43m (217). For the formation energy, the calculation gives -258 kJ/mol of formula units.

Entry 6:
Zn2PIr: optimized geometry, PBE.

a = 4.7647 Å, b = 2.8884 Å, c = 4.2971 Å
α = 82.67°, β = 90.00°, γ = 90.00°
Sites, in units of the cell vectors:
Zn 0.0000 0.2640 0.7541
Zn 0.0000 0.7360 0.2459
P 0.5000 0.5000 0.5000
Ir 0.5000 0.0000 0.0000

As for the space group: P2/m (10). For the formation energy, the calculation gives 31 kJ/mol of formula units.

Entry 7:
Ca4TlCd3O8: optimized geometry, PBE.

a = 6.9197 Å, b = 6.8101 Å, c = 6.9211 Å
α = 120.52°, β = 119.99°, γ = 90.00°
Sites, in units of the cell vectors:
Ca 0.5000 0.0000 0.0000
Ca 0.5000 0.0000 0.5000
Ca 0.0000 0.0000 0.0000
Ca 0.0000 0.0000 0.5000
Tl 0.0000 0.5000 0.0000
Cd 0.5000 0.5000 0.0000
Cd 0.5000 0.5000 0.5000
Cd 0.0000 0.5000 0.5000
O 0.2575 0.7608 0.0037
O 0.2574 0.7605 0.5147
O 0.2481 0.2445 0.4962
O 0.7462 0.7608 0.0037
O 0.2538 0.2392 0.9963
O 0.7519 0.7555 0.5038
O 0.7426 0.2395 0.4853
O 0.7425 0.2392 0.9963

The formation energy without anion corrections comes out at -1.908 eV per atom. As for the space group: R-3m (166).

Entry 8:
InGe2Pb: optimized geometry, PBE.

a = 4.0166 Å, b = 4.0166 Å, c = 7.6435 Å
α = 74.77°, β = 74.77°, γ = 60.00°
Sites, in units of the cell vectors:
Pb 0.5000 0.5000 0.5000
Ge 0.2565 0.2565 0.2305
Ge 0.7435 0.7435 0.7695
In 0.0000 0.0000 0.0000

As for the space group: R-3m (166). As for the distance to the lowest polymorph of the same formula: 0.000 eV/atom. For the formation energy, the calculation gives 96 kJ/mol of formula units.

Short version: E = -7.04, -7.38, -7.96, -7.45, -6.36, -4.13, -5.21, -3.67 eV/atom, in the order given.